1.
Entry from Alexandria: a relaxed structure of DyNpIn2Te4 (PBE).

Computed properties:
E_form (uncorrected): -5.7 eV/f.u.
Mass density: 6.847 g cm⁻³

abc: 4.4328 7.6716 8.5202
angles: 107.48 90.00 90.00
Closest atoms and distances in Å follow each position.
Fractional coordinates of all 8 atoms:
Dy (0.5000, 0.5000, 0.0000)  6 Te 3.10-3.11
Np (0.0000, 0.0000, 0.0000)  6 Te 3.13-3.14
In (0.5000, 0.0000, 0.5000)  6 Te 3.44
In (0.0000, 0.5000, 0.5000)  6 Te 3.40-3.42
Te (0.5000, 0.2427, 0.2201)  1 Dy 3.10, 2 Np 3.13, 3 In 3.42-3.44
Te (0.5000, 0.7573, 0.7799)  1 Dy 3.10, 2 Np 3.13, 3 In 3.42-3.44
Te (0.0000, 0.2639, 0.7804)  2 Dy 3.11, 1 Np 3.14, 3 In 3.40-3.44
Te (0.0000, 0.7361, 0.2196)  2 Dy 3.11, 1 Np 3.14, 3 In 3.40-3.44

=====

2.
Entry from Alexandria: a relaxed structure of DyInO2 (PBE).

Computed properties:
E_form (uncorrected): -9.6 eV/f.u.
Mass density: 7.290 g cm⁻³

abc: 3.4575 3.4575 7.0925
angles: 75.89 75.89 60.00
Closest atoms and distances in Å follow each position.
Fractional coordinates of all 4 atoms:
In (0.0000, 0.0000, 0.0000)  2 O 2.29
O (0.1122, 0.1122, 0.6634)  3 Dy 2.29, 1 In 2.29
O (0.8878, 0.8878, 0.3366)  3 Dy 2.29, 1 In 2.29
Dy (0.5000, 0.5000, 0.5000)  6 O 2.29

=====

Question: Among the records above, which one has the lowest E_form (uncorrected)?
Answer: DyInO2